i:
{"formula": "Pb2BrCl", "functional": "GGA-PBE", "state": "relaxed", "lattice": [[1.840, 1.062, 9.782], [-1.840, 1.062, 9.782], [0.000, -2.125, 9.782]], "species": ["Pb", "Pb", "Br", "Cl"], "fractional_positions": [[0.248, 0.248, 0.248], [0.752, 0.752, 0.752], [0.000, 0.000, 0.000], [0.500, 0.500, 0.500]], "vol_a3_per_cell": 114.74, "dos_at_fermi_per_ev_cell": 1.22, "sg": "No. 166"}

---

ii:
{"formula": "Pb2BrCl", "functional": "GGA-PBE", "state": "relaxed", "lattice": [[3.486, -4.613, 0.000], [3.486, 4.613, 0.000], [0.000, 0.000, 3.549]], "species": ["Pb", "Pb", "Br", "Cl"], "fractional_positions": [[0.000, 0.500, 0.000], [0.500, 0.000, 0.000], [0.000, 0.000, 0.500], [0.500, 0.500, 0.500]], "vol_a3_per_cell": 114.13, "dos_at_fermi_per_ev_cell": 2.51, "sg": "No. 65"}

---

iii:
{"formula": "Pb2BrCl", "functional": "GGA-PBE", "state": "relaxed", "lattice": [[4.095, 0.000, 0.000], [0.000, 4.095, 0.000], [0.000, 0.000, 7.074]], "species": ["Pb", "Pb", "Br", "Cl"], "fractional_positions": [[0.000, 0.000, 0.000], [0.500, 0.500, 0.294], [0.000, 0.000, 0.544], [0.500, 0.500, 0.858]], "vol_a3_per_cell": 118.64, "dos_at_fermi_per_ev_cell": 2.23, "sg": "No. 99"}

---

iv:
{"formula": "Pb2BrCl", "functional": "GGA-PBE", "state": "relaxed", "lattice": [[0.000, 3.851, 3.851], [3.851, 0.000, 3.851], [3.851, 3.851, 0.000]], "species": ["Pb", "Pb", "Br", "Cl"], "fractional_positions": [[0.250, 0.250, 0.250], [0.750, 0.750, 0.750], [0.000, 0.000, 0.000], [0.500, 0.500, 0.500]], "vol_a3_per_cell": 114.19, "dos_at_fermi_per_ev_cell": 3.42, "sg": "No. 225"}

---

Most stable: i